(1)
# NbHgN3 GGA-PBE optimized geometry
data_NbHgN3
_cell_length_a 4.133
_cell_length_b 4.133
_cell_length_c 4.133
_cell_angle_alpha 90.00
_cell_angle_beta 90.00
_cell_angle_gamma 90.00
_space_group_name_H-M_alt 'P m -3 m'
_space_group_IT_number 221
_space_group_name_Hall '-P 4 2 3'
loop_
_atom_site_label
_atom_site_type_symbol
_atom_site_fract_x
_atom_site_fract_y
_atom_site_fract_z
_atom_site_occupancy
Nb1 Nb 0.000 0.000 0.000 1
Hg1 Hg 0.500 0.500 0.500 1
N1 N 0.000 0.000 0.500 1
# Size of the total moment ... 2.14 Bohr magnetons per cell
# VASP energy ... -31.253 eV for the cell shown
# Uncorrected formation energy ... 0.82 eV per atom



(2)
# La2Pr8Sm3 GGA-PBE optimized geometry
data_La2Pr8Sm3
_cell_length_a 21.184
_cell_length_b 7.777
_cell_length_c 5.828
_cell_angle_alpha 90.00
_cell_angle_beta 90.04
_cell_angle_gamma 90.00
_space_group_name_H-M_alt 'C 1 2/m 1'
_space_group_IT_number 12
_space_group_name_Hall '-C 2y'
loop_
_atom_site_label
_atom_site_type_symbol
_atom_site_fract_x
_atom_site_fract_y
_atom_site_fract_z
_atom_site_occupancy
La1 La 0.242 0.000 0.498 1
Pr1 Pr 0.104 0.294 0.500 1
Pr2 Pr 0.131 0.000 0.999 1
Pr3 Pr 0.169 0.500 0.001 1
Sm1 Sm 0.000 0.000 0.500 1
Sm2 Sm 0.000 0.285 0.000 1
# Size of the total moment ... 0.00 Bohr magnetons per cell
# VASP energy ... -119.375 eV for the cell shown
# Excess energy over the best structure of this formula in the dataset ... 0.048 eV/atom
# Formation energy from the elements ... 0.197 eV per atom



(3)
# Tb12CoBi6 GGA-PBE optimized geometry
data_Tb12CoBi6
_cell_length_a 13.2468
_cell_length_b 13.2468
_cell_length_c 12.2506
_cell_angle_alpha 90.00
_cell_angle_beta 90.00
_cell_angle_gamma 120.00
_space_group_name_H-M_alt 'R -3'
_space_group_IT_number 148
_space_group_name_Hall '-R 3'
loop_
_atom_site_label
_atom_site_type_symbol
_atom_site_fract_x
_atom_site_fract_y
_atom_site_fract_z
_atom_site_occupancy
Tb1 Tb 0.0281 0.1845 0.3853 1
Tb2 Tb 0.0635 0.1850 0.8812 1
Co1 Co 0.0000 0.0000 0.0000 1
Bi1 Bi 0.0443 0.2885 0.6392 1
# Size of the total moment ... 0.00 Bohr magnetons per cell
# VASP energy ... -283.983 eV for the cell shown
# Formation energy from the elements ... -0.458 eV per atom



(4)
# Dy2Y6S3 GGA-PBE optimized geometry
data_Dy2Y6S3
_cell_length_a 3.7553
_cell_length_b 3.7553
_cell_length_c 73.3913
_cell_angle_alpha 90.00
_cell_angle_beta 90.00
_cell_angle_gamma 120.00
_space_group_name_H-M_alt 'R -3 m'
_space_group_IT_number 166
_space_group_name_Hall '-R 3 2"'
loop_
_atom_site_label
_atom_site_type_symbol
_atom_site_fract_x
_atom_site_fract_y
_atom_site_fract_z
_atom_site_occupancy
Dy1 Dy 0.0000 0.0000 0.0583 1
Y1 Y 0.0000 0.0000 0.1431 1
Y2 Y 0.0000 0.0000 0.3140 1
Y3 Y 0.0000 0.0000 0.4313 1
S1 S 0.0000 0.0000 0.2124 1
S2 S 0.0000 0.0000 0.5000 1
# Size of the total moment ... 0.00 Bohr magnetons per cell
# VASP energy ... -215.623 eV for the cell shown
# Uncorrected formation energy ... -1.05 eV per atom



(5)
# AcPrGa GGA-PBE optimized geometry
data_AcPrGa
_cell_length_a 3.773
_cell_length_b 7.389
_cell_length_c 7.461
_cell_angle_alpha 75.54
_cell_angle_beta 75.41
_cell_angle_gamma 89.98
_space_group_name_H-M_alt 'P -1'
_space_group_IT_number 2
_space_group_name_Hall '-P 1'
loop_
_atom_site_label
_atom_site_type_symbol
_atom_site_fract_x
_atom_site_fract_y
_atom_site_fract_z
_atom_site_occupancy
Ac1 Ac 0.127 0.060 0.242 1
Pr1 Pr 0.152 0.582 0.197 1
Ga1 Ga 0.498 0.698 0.503 1
# Size of the total moment ... 0.00 Bohr magnetons per cell
# VASP energy ... -25.585 eV for the cell shown
# Excess energy over the best structure of this formula in the dataset ... 0.047 eV/atom
# Formation energy from the elements ... -0.293 eV per atom



(6)
# TcAs2Os GGA-PBE optimized geometry
data_TcAs2Os
_cell_length_a 8.475
_cell_length_b 3.134
_cell_length_c 4.949
_cell_angle_alpha 90.00
_cell_angle_beta 105.16
_cell_angle_gamma 90.00
_space_group_name_H-M_alt 'C 1 m 1'
_space_group_IT_number 8
_space_group_name_Hall 'C -2y'
loop_
_atom_site_label
_atom_site_type_symbol
_atom_site_fract_x
_atom_site_fract_y
_atom_site_fract_z
_atom_site_occupancy
Tc1 Tc 0.000 0.000 0.000 1
As1 As 0.019 0.500 0.591 1
As2 As 0.283 0.000 0.014 1
Os1 Os 0.277 0.500 0.412 1
# Size of the total moment ... 0.00 Bohr magnetons per cell
# VASP energy ... -61.095 eV for the cell shown
# Excess energy over the best structure of this formula in the dataset ... 0.058 eV/atom
# Formation energy from the elements ... 0.087 eV per atom



(7)
# Ta2NbInFe GGA-PBE optimized geometry
data_Ta2NbInFe
_cell_length_a 4.957
_cell_length_b 4.957
_cell_length_c 4.953
_cell_angle_alpha 90.00
_cell_angle_beta 90.00
_cell_angle_gamma 90.00
_space_group_name_H-M_alt 'P 4/m m m'
_space_group_IT_number 123
_space_group_name_Hall '-P 4 2'
loop_
_atom_site_label
_atom_site_type_symbol
_atom_site_fract_x
_atom_site_fract_y
_atom_site_fract_z
_atom_site_occupancy
Ta1 Ta 0.000 0.500 0.000 1
Nb1 Nb 0.000 0.000 0.500 1
In1 In 0.000 0.000 0.000 1
Fe1 Fe 0.500 0.500 0.500 1
# Size of the total moment ... 0.69 Bohr magnetons per cell
# VASP energy ... -31.908 eV for the cell shown
# Formation energy from the elements ... 2.614 eV per atom



(8)
# PaTiCrGa GGA-PBE optimized geometry
data_PaTiCrGa
_cell_length_a 6.439
_cell_length_b 6.439
_cell_length_c 6.439
_cell_angle_alpha 90.00
_cell_angle_beta 90.00
_cell_angle_gamma 90.00
_space_group_name_H-M_alt 'F -4 3 m'
_space_group_IT_number 216
_space_group_name_Hall 'F -4 2 3'
loop_
_atom_site_label
_atom_site_type_symbol
_atom_site_fract_x
_atom_site_fract_y
_atom_site_fract_z
_atom_site_occupancy
Pa1 Pa 0.000 0.000 0.000 1
Ti1 Ti 0.250 0.250 0.750 1
Cr1 Cr 0.250 0.250 0.250 1
Ga1 Ga 0.000 0.000 0.500 1
# Size of the total moment ... 0.13 Bohr magnetons per cell
# VASP energy ... -121.553 eV for the cell shown
# Formation energy from the elements ... -0.087 eV per atom



(9)
# Pb2Au2Cl GGA-PBE optimized geometry
data_Pb2Au2Cl
_cell_length_a 8.326
_cell_length_b 8.326
_cell_length_c 3.785
_cell_angle_alpha 90.00
_cell_angle_beta 90.00
_cell_angle_gamma 90.00
_space_group_name_H-M_alt 'P 4/m b m'
_space_group_IT_number 127
_space_group_name_Hall '-P 4 2ab'
loop_
_atom_site_label
_atom_site_type_symbol
_atom_site_fract_x
_atom_site_fract_y
_atom_site_fract_z
_atom_site_occupancy
Pb1 Pb 0.190 0.310 0.000 1
Au1 Au 0.117 0.617 0.500 1
Cl1 Cl 0.000 0.000 0.000 1
# Size of the total moment ... 0.00 Bohr magnetons per cell
# VASP energy ... -34.193 eV for the cell shown
# Excess energy over the best structure of this formula in the dataset ... 0.000 eV/atom
# Uncorrected formation energy ... -0.26 eV per atom



(10)
# Tl3IrN GGA-PBE optimized geometry
data_Tl3IrN
_cell_length_a 4.755
_cell_length_b 4.755
_cell_length_c 4.755
_cell_angle_alpha 90.00
_cell_angle_beta 90.00
_cell_angle_gamma 90.00
_space_group_name_H-M_alt 'P m -3 m'
_space_group_IT_number 221
_space_group_name_Hall '-P 4 2 3'
loop_
_atom_site_label
_atom_site_type_symbol
_atom_site_fract_x
_atom_site_fract_y
_atom_site_fract_z
_atom_site_occupancy
Tl1 Tl 0.000 0.000 0.500 1
Ir1 Ir 0.500 0.500 0.500 1
N1 N 0.000 0.000 0.000 1
# Size of the total moment ... 0.00 Bohr magnetons per cell
# VASP energy ... -18.441 eV for the cell shown
# Excess energy over the best structure of this formula in the dataset ... 0.178 eV/atom
# Uncorrected formation energy ... 1.17 eV per atom



(11)
# TbPm3Er3Te8 GGA-PBE optimized geometry
data_TbPm3Er3Te8
_cell_length_a 8.7382
_cell_length_b 8.7382
_cell_length_c 21.5057
_cell_angle_alpha 90.00
_cell_angle_beta 90.00
_cell_angle_gamma 120.00
_space_group_name_H-M_alt 'R -3 m'
_space_group_IT_number 166
_space_group_name_Hall '-R 3 2"'
loop_
_atom_site_label
_atom_site_type_symbol
_atom_site_fract_x
_atom_site_fract_y
_atom_site_fract_z
_atom_site_occupancy
Tb1 Tb 0.0000 0.0000 0.0000 1
Pm1 Pm 0.0000 0.5000 0.5000 1
Er1 Er 0.0000 0.5000 0.0000 1
Te1 Te 0.0000 0.0000 0.2539 1
Te2 Te 0.0115 0.5058 0.2511 1
# Size of the total moment ... 0.00 Bohr magnetons per cell
# VASP energy ... -235.416 eV for the cell shown
# Uncorrected formation energy ... -1.38 eV per atom



(12)
# Sm2PdPbO5 GGA-PBE optimized geometry
data_Sm2PdPbO5
_cell_length_a 6.693
_cell_length_b 6.693
_cell_length_c 5.888
_cell_angle_alpha 90.00
_cell_angle_beta 90.00
_cell_angle_gamma 90.00
_space_group_name_H-M_alt 'P 4/m b m'
_space_group_IT_number 127
_space_group_name_Hall '-P 4 2ab'
loop_
_atom_site_label
_atom_site_type_symbol
_atom_site_fract_x
_atom_site_fract_y
_atom_site_fract_z
_atom_site_occupancy
Sm1 Sm 0.173 0.327 0.000 1
Pd1 Pd 0.000 0.500 0.500 1
Pb1 Pb 0.000 0.000 0.500 1
O1 O 0.000 0.000 0.000 1
O2 O 0.141 0.641 0.245 1
# Size of the total moment ... 0.00 Bohr magnetons per cell
# VASP energy ... -125.339 eV for the cell shown
# Uncorrected formation energy ... -2.17 eV per atom



Among the records above, which one has the highest VASP energy?
Tl3IrN